[1]
NbAlPt: optimized geometry, PBE.

Output
Magnetization = 0.00 μB per formula unit
ΔH_f (0 K) = -0.55 eV per atom

Unit cell a=3.806 b=3.806 c=6.987 alpha=90.00 beta=90.00 gamma=90.00
Positions (direct):
Nb 0.250 0.750 0.000
Nb 0.750 0.250 0.000
Al 0.250 0.250 0.322
Al 0.750 0.750 0.678
Pt 0.250 0.250 0.682
Pt 0.750 0.750 0.318

=====

[2]
Nb2AlPt: optimized geometry, PBE.

Output
Magnetization = 0.00 μB per formula unit
ΔH_f (0 K) = -0.54 eV per atom

Unit cell a=3.861 b=3.861 c=4.450 alpha=90.00 beta=90.00 gamma=90.00
Positions (direct):
Nb 0.000 0.500 0.000
Nb 0.500 0.000 0.000
Al 0.000 0.000 0.500
Pt 0.500 0.500 0.500

=====

[3]
NbAlPtRh: optimized geometry, PBE.

Output
Magnetization = 0.00 μB per formula unit
ΔH_f (0 K) = -0.61 eV per atom

Unit cell a=4.473 b=4.473 c=4.473 alpha=60.00 beta=60.00 gamma=60.00
Positions (direct):
Nb 0.000 0.000 0.000
Al 0.500 0.500 0.500
Pt 0.250 0.250 0.250
Rh 0.750 0.750 0.750

=====

[4]
NbAlPt2Rh: optimized geometry, PBE.

Output
Magnetization = 0.00 μB per formula unit
ΔH_f (0 K) = 0.77 eV per atom

Unit cell a=4.433 b=4.433 c=4.745 alpha=90.00 beta=90.00 gamma=90.00
Positions (direct):
Nb 0.000 0.000 0.000
Al 0.000 0.000 0.500
Pt 0.000 0.500 0.500
Pt 0.500 0.000 0.500
Rh 0.500 0.500 0.000

=====

[5]
Nb2Al5TcPt2: optimized geometry, PBE.

Output
Magnetization = 0.00 μB per formula unit
ΔH_f (0 K) = -0.46 eV per atom

Unit cell a=9.960 b=9.960 c=3.260 alpha=90.00 beta=90.00 gamma=90.00
Positions (direct):
Nb 0.176 0.324 0.000
Nb 0.324 0.824 0.000
Nb 0.676 0.176 0.000
Nb 0.824 0.676 0.000
Al 0.000 0.500 0.500
Al 0.040 0.804 0.500
Al 0.196 0.040 0.500
Al 0.304 0.540 0.500
Al 0.460 0.304 0.500
Al 0.500 0.000 0.500
Al 0.540 0.696 0.500
Al 0.696 0.460 0.500
Al 0.804 0.960 0.500
Al 0.960 0.196 0.500
Tc 0.000 0.000 0.000
Tc 0.500 0.500 0.000
Pt 0.132 0.632 0.000
Pt 0.368 0.132 0.000
Pt 0.632 0.868 0.000
Pt 0.868 0.368 0.000

=====

[6]
NbAlTcPt: optimized geometry, PBE.

Output
Magnetization = 0.00 μB per formula unit
ΔH_f (0 K) = -0.50 eV per atom

Unit cell a=4.456 b=4.456 c=4.456 alpha=60.00 beta=60.00 gamma=60.00
Positions (direct):
Nb 0.000 0.000 0.000
Al 0.500 0.500 0.500
Tc 0.250 0.250 0.250
Pt 0.750 0.750 0.750

=====

[7]
TiNbAlPt: optimized geometry, PBE.

Output
Magnetization = 1.94 μB per formula unit
ΔH_f (0 K) = -0.47 eV per atom
Energy above the lowest structure with this stoichiometry = 0.1699 eV/atom

Unit cell a=4.493 b=4.493 c=4.493 alpha=60.00 beta=60.00 gamma=60.00
Positions (direct):
Ti 0.000 0.000 0.000
Nb 0.750 0.750 0.750
Al 0.500 0.500 0.500
Pt 0.250 0.250 0.250

=====

[8]
TiNbAlPt: optimized geometry, PBE.

Output
Magnetization = 0.00 μB per formula unit
ΔH_f (0 K) = -0.64 eV per atom
Energy above the lowest structure with this stoichiometry = 0.0000 eV/atom

Unit cell a=3.678 b=4.104 c=4.256 alpha=90.00 beta=90.00 gamma=90.00
Positions (direct):
Ti 0.000 0.000 0.000
Nb 0.500 0.500 0.000
Al 0.000 0.500 0.500
Pt 0.500 0.000 0.500

=====

[9]
NbAlVPt: optimized geometry, PBE.

Output
Magnetization = 0.00 μB per formula unit
ΔH_f (0 K) = -0.35 eV per atom

Unit cell a=4.424 b=4.424 c=4.424 alpha=60.00 beta=60.00 gamma=60.00
Positions (direct):
Nb 0.000 0.000 0.000
Al 0.750 0.750 0.750
V 0.250 0.250 0.250
Pt 0.500 0.500 0.500

=====

[10]
Nb2Al5VPt2: optimized geometry, PBE.

Output
Magnetization = 2.14 μB per formula unit
ΔH_f (0 K) = -0.41 eV per atom

Unit cell a=9.189 b=9.189 c=3.875 alpha=90.00 beta=90.00 gamma=90.00
Positions (direct):
Nb 0.178 0.322 0.000
Nb 0.322 0.822 0.000
Nb 0.678 0.178 0.000
Nb 0.822 0.678 0.000
Al 0.000 0.500 0.500
Al 0.057 0.799 0.500
Al 0.201 0.057 0.500
Al 0.299 0.557 0.500
Al 0.443 0.299 0.500
Al 0.500 0.000 0.500
Al 0.557 0.701 0.500
Al 0.701 0.443 0.500
Al 0.799 0.943 0.500
Al 0.943 0.201 0.500
V 0.000 0.000 0.000
V 0.500 0.500 0.000
Pt 0.122 0.622 0.000
Pt 0.378 0.122 0.000
Pt 0.622 0.878 0.000
Pt 0.878 0.378 0.000

=====

[11]
PuNb2Al: optimized geometry, PBE.

Output
Magnetization = 4.56 μB per formula unit
ΔH_f (0 K) = 0.27 eV per atom
Energy above the lowest structure with this stoichiometry = 0.2814 eV/atom

Unit cell a=10.640 b=10.640 c=10.640 alpha=15.74 beta=15.74 gamma=15.74
Positions (direct):
Pu 0.000 0.000 0.000
Nb 0.093 0.093 0.093
Nb 0.907 0.907 0.907
Al 0.500 0.500 0.500

=====

[12]
Pu2NbAl6: optimized geometry, PBE.

Output
Magnetization = 11.16 μB per formula unit
ΔH_f (0 K) = -0.22 eV per atom

Unit cell a=7.886 b=7.886 c=3.162 alpha=90.00 beta=90.00 gamma=120.00
Positions (direct):
Pu 0.333 0.667 0.000
Pu 0.667 0.333 0.000
Nb 0.000 0.000 0.000
Al 0.000 0.325 0.500
Al 0.000 0.675 0.500
Al 0.325 0.000 0.500
Al 0.325 0.325 0.500
Al 0.675 0.000 0.500
Al 0.675 0.675 0.500

=====

[13]
PuNb2Al: optimized geometry, PBE.

Output
Magnetization = 4.61 μB per formula unit
ΔH_f (0 K) = -0.01 eV per atom
Energy above the lowest structure with this stoichiometry = 0.0000 eV/atom

Unit cell a=4.480 b=4.480 c=3.714 alpha=90.00 beta=90.00 gamma=90.00
Positions (direct):
Pu 0.000 0.000 0.000
Nb 0.000 0.500 0.500
Nb 0.500 0.000 0.500
Al 0.500 0.500 0.000

=====

[14]
PuNbAl2: optimized geometry, PBE.

Output
Magnetization = 5.40 μB per formula unit
ΔH_f (0 K) = -0.12 eV per atom

Unit cell a=3.513 b=3.513 c=6.357 alpha=90.00 beta=90.00 gamma=90.00
Positions (direct):
Pu 0.000 0.000 0.000
Nb 0.000 0.000 0.500
Al 0.500 0.500 0.293
Al 0.500 0.500 0.707

=====

[15]
RbNb3Al: optimized geometry, PBE.

Output
Magnetization = 0.00 μB per formula unit
ΔH_f (0 K) = 2.59 eV per atom
Energy above the lowest structure with this stoichiometry = 0.9412 eV/atom

Unit cell a=4.783 b=4.783 c=4.783 alpha=90.00 beta=90.00 gamma=90.00
Positions (direct):
Rb 0.000 0.000 0.000
Nb 0.000 0.000 0.500
Nb 0.000 0.500 0.000
Nb 0.500 0.000 0.000
Al 0.500 0.500 0.500

=====

[16]
Rb2NbAl: optimized geometry, PBE.

Output
Magnetization = 3.49 μB per formula unit
ΔH_f (0 K) = 1.14 eV per atom

Unit cell a=9.727 b=9.727 c=9.727 alpha=94.18 beta=94.18 gamma=148.66
Positions (direct):
Rb 0.375 0.211 0.336
Rb 0.789 0.125 0.164
Rb 0.875 0.039 0.664
Rb 0.961 0.625 0.836
Nb 0.250 0.750 0.500
Nb 0.500 0.500 0.000
Al 0.000 0.000 0.000
Al 0.750 0.250 0.500

=====

[17]
RbNb3Al: optimized geometry, PBE.

Output
Magnetization = 0.00 μB per formula unit
ΔH_f (0 K) = 1.65 eV per atom
Energy above the lowest structure with this stoichiometry = 0.0000 eV/atom

Unit cell a=5.014 b=5.014 c=5.014 alpha=90.00 beta=90.00 gamma=90.00
Positions (direct):
Rb 0.000 0.000 0.000
Nb 0.000 0.500 0.500
Nb 0.500 0.000 0.500
Nb 0.500 0.500 0.000
Al 0.500 0.500 0.500

=====

[18]
RbNbAl2Rh: optimized geometry, PBE.

Output
Magnetization = 4.28 μB per formula unit
ΔH_f (0 K) = 0.99 eV per atom

Unit cell a=4.791 b=4.791 c=5.757 alpha=90.00 beta=90.00 gamma=90.00
Positions (direct):
Rb 0.000 0.000 0.000
Nb 0.500 0.500 0.000
Al 0.000 0.500 0.500
Al 0.500 0.000 0.500
Rh 0.000 0.000 0.500

=====

[19]
RbNbAl2Te: optimized geometry, PBE.

Output
Magnetization = 0.00 μB per formula unit
ΔE_f (raw) = 0.075 eV/atom

Unit cell a=5.247 b=5.247 c=5.387 alpha=90.00 beta=90.00 gamma=90.00
Positions (direct):
Rb 0.000 0.000 0.000
Nb 0.500 0.500 0.500
Al 0.000 0.500 0.500
Al 0.500 0.000 0.500
Te 0.500 0.500 0.000

=====

[20]
Rb2ZrNbAl: optimized geometry, PBE.

Output
Magnetization = 0.01 μB per formula unit
ΔH_f (0 K) = 1.99 eV per atom

Unit cell a=5.776 b=5.776 c=5.201 alpha=90.00 beta=90.00 gamma=90.00
Positions (direct):
Rb 0.000 0.500 0.000
Rb 0.500 0.000 0.000
Zr 0.000 0.000 0.500
Nb 0.500 0.500 0.000
Al 0.500 0.500 0.500

=====

[21]
NbAlRe3: optimized geometry, PBE.

Output
Magnetization = 0.02 μB per formula unit
ΔH_f (0 K) = 2.32 eV per atom
Energy above the lowest structure with this stoichiometry = 0.9205 eV/atom

Unit cell a=4.743 b=4.743 c=4.743 alpha=90.00 beta=90.00 gamma=90.00
Positions (direct):
Nb 0.000 0.000 0.000
Al 0.500 0.500 0.500
Re 0.000 0.000 0.500
Re 0.000 0.500 0.000
Re 0.500 0.000 0.000

=====

[22]
NbAl2Re: optimized geometry, PBE.

Output
Magnetization = 0.68 μB per formula unit
ΔH_f (0 K) = -0.03 eV per atom
Energy above the lowest structure with this stoichiometry = 0.0000 eV/atom

Unit cell a=4.444 b=4.444 c=4.444 alpha=60.00 beta=60.00 gamma=60.00
Positions (direct):
Nb 0.000 0.000 0.000
Al 0.250 0.250 0.250
Al 0.750 0.750 0.750
Re 0.500 0.500 0.500

=====

[23]
NbAl2Re2: optimized geometry, PBE.

Output
Magnetization = 0.00 μB per formula unit
ΔH_f (0 K) = -0.02 eV per atom

Unit cell a=7.009 b=7.009 c=3.123 alpha=90.00 beta=90.00 gamma=90.00
Positions (direct):
Nb 0.000 0.000 0.000
Nb 0.500 0.500 0.000
Al 0.130 0.370 0.000
Al 0.370 0.870 0.000
Al 0.630 0.130 0.000
Al 0.870 0.630 0.000
Re 0.166 0.666 0.500
Re 0.334 0.166 0.500
Re 0.666 0.834 0.500
Re 0.834 0.334 0.500

=====

[24]
Nb2AlRe: optimized geometry, PBE.

Output
Magnetization = 0.00 μB per formula unit
ΔH_f (0 K) = -0.18 eV per atom

Unit cell a=4.361 b=4.361 c=3.489 alpha=90.00 beta=90.00 gamma=90.00
Positions (direct):
Nb 0.000 0.500 0.000
Nb 0.500 0.000 0.000
Al 0.000 0.000 0.500
Re 0.500 0.500 0.500

=====

[25]
NbAlRe3: optimized geometry, PBE.

Output
Magnetization = 0.00 μB per formula unit
ΔH_f (0 K) = 1.40 eV per atom
Energy above the lowest structure with this stoichiometry = 0.0000 eV/atom

Unit cell a=4.431 b=4.431 c=4.431 alpha=90.00 beta=90.00 gamma=90.00
Positions (direct):
Nb 0.000 0.000 0.000
Al 0.500 0.500 0.500
Re 0.000 0.500 0.500
Re 0.500 0.000 0.500
Re 0.500 0.500 0.000

=====

[26]
Nb14AlRe: optimized geometry, PBE.

Output
Magnetization = 0.00 μB per formula unit
ΔH_f (0 K) = -0.09 eV per atom

Unit cell a=6.578 b=6.578 c=6.609 alpha=90.00 beta=90.00 gamma=90.00
Positions (direct):
Nb 0.000 0.000 0.000
Nb 0.000 0.500 0.000
Nb 0.000 0.500 0.500
Nb 0.245 0.245 0.253
Nb 0.245 0.245 0.747
Nb 0.245 0.755 0.253
Nb 0.245 0.755 0.747
Nb 0.500 0.000 0.000
Nb 0.500 0.000 0.500
Nb 0.500 0.500 0.000
Nb 0.755 0.245 0.253
Nb 0.755 0.245 0.747
Nb 0.755 0.755 0.253
Nb 0.755 0.755 0.747
Al 0.500 0.500 0.500
Re 0.000 0.000 0.500